Entry 1:
DFT (PBE-GGA) results for crystalline TbDyZnPd at its relaxed geometry. Values from VASP.

## Properties
**E_form**: -0.60 eV per atom
**Symmetry**: F-43m
**ΔE to the lowest computed polymorph**: 24.4 meV per atom

```
&SYSTEM
  ibrav = 0, nat = 4, ntyp = 4
/
ATOMIC_SPECIES
Tb 158.93 Tb.upf
Dy 162.50 Dy.upf
Zn 65.41 Zn.upf
Pd 106.42 Pd.upf
CELL_PARAMETERS angstrom
0.000 3.545 3.545
3.545 0.000 3.545
3.545 3.545 0.000
ATOMIC_POSITIONS crystal
Tb 0.000 0.000 0.000
Dy 0.500 0.500 0.500
Zn 0.250 0.250 0.250
Pd 0.750 0.750 0.750
```



Entry 2:
DFT (PBE-GGA) results for crystalline TbDyZnPd at its relaxed geometry. Values from VASP.

## Properties
**E_form**: -0.62 eV per atom
**Symmetry**: P4mm
**ΔE to the lowest computed polymorph**: 0.0 meV per atom

```
&SYSTEM
  ibrav = 0, nat = 4, ntyp = 4
/
ATOMIC_SPECIES
Tb 158.93 Tb.upf
Dy 162.50 Dy.upf
Zn 65.41 Zn.upf
Pd 106.42 Pd.upf
CELL_PARAMETERS angstrom
3.564 0.000 0.000
0.000 3.564 0.000
0.000 0.000 7.006
ATOMIC_POSITIONS crystal
Tb 0.000 0.000 0.000
Dy 0.000 0.000 0.491
Zn 0.500 0.500 0.744
Pd 0.500 0.500 0.248
```



Entry 3:
DFT (PBE-GGA) results for crystalline Dy2TcPd at its relaxed geometry. Values from VASP.

## Properties
**E_form**: -0.43 eV per atom
**Symmetry**: P4/mmm

```
&SYSTEM
  ibrav = 0, nat = 4, ntyp = 3
/
ATOMIC_SPECIES
Dy 162.50 Dy.upf
Tc 98.00 Tc.upf
Pd 106.42 Pd.upf
CELL_PARAMETERS angstrom
3.489 0.000 0.000
0.000 3.489 0.000
0.000 0.000 6.830
ATOMIC_POSITIONS crystal
Dy 0.000 0.000 0.242
Dy 0.000 0.000 0.758
Tc 0.500 0.500 0.000
Pd 0.500 0.500 0.500
```



Entry 4:
DFT (PBE-GGA) results for crystalline Dy8TcPd2 at its relaxed geometry. Values from VASP.

## Properties
**E_form**: -0.34 eV per atom
**Symmetry**: C2/m
**ΔE to the lowest computed polymorph**: 0.0 meV per atom

```
&SYSTEM
  ibrav = 0, nat = 11, ntyp = 3
/
ATOMIC_SPECIES
Dy 162.50 Dy.upf
Tc 98.00 Tc.upf
Pd 106.42 Pd.upf
CELL_PARAMETERS angstrom
8.587 -2.541 0.000
8.587 2.541 0.000
-2.006 0.000 6.524
ATOMIC_POSITIONS crystal
Dy 0.030 0.030 0.293
Dy 0.199 0.199 0.810
Dy 0.335 0.335 0.533
Dy 0.409 0.409 0.059
Dy 0.591 0.591 0.941
Dy 0.665 0.665 0.467
Dy 0.801 0.801 0.190
Dy 0.970 0.970 0.707
Tc 0.500 0.500 0.500
Pd 0.188 0.188 0.208
Pd 0.812 0.812 0.792
```



Entry 5:
DFT (PBE-GGA) results for crystalline Dy8TcPd2 at its relaxed geometry. Values from VASP.

## Properties
**E_form**: -0.26 eV per atom
**Symmetry**: Cm
**ΔE to the lowest computed polymorph**: 77.5 meV per atom

```
&SYSTEM
  ibrav = 0, nat = 11, ntyp = 3
/
ATOMIC_SPECIES
Dy 162.50 Dy.upf
Tc 98.00 Tc.upf
Pd 106.42 Pd.upf
CELL_PARAMETERS angstrom
4.115 -6.591 0.000
4.115 6.591 0.000
-2.014 0.000 5.438
ATOMIC_POSITIONS crystal
Dy 0.000 0.000 0.000
Dy 0.034 0.276 0.589
Dy 0.158 0.577 0.181
Dy 0.276 0.034 0.589
Dy 0.449 0.693 0.788
Dy 0.577 0.158 0.181
Dy 0.693 0.449 0.788
Dy 0.719 0.719 0.354
Tc 0.358 0.358 0.070
Pd 0.053 0.660 0.671
Pd 0.660 0.053 0.671
```



Entry 6:
DFT (PBE-GGA) results for crystalline Dy8Tc2Pd at its relaxed geometry. Values from VASP.

## Properties
**E_form**: -0.16 eV per atom
**Symmetry**: Cm

```
&SYSTEM
  ibrav = 0, nat = 11, ntyp = 3
/
ATOMIC_SPECIES
Dy 162.50 Dy.upf
Tc 98.00 Tc.upf
Pd 106.42 Pd.upf
CELL_PARAMETERS angstrom
4.228 -6.370 0.000
4.228 6.370 0.000
-1.937 0.000 5.492
ATOMIC_POSITIONS crystal
Dy 0.000 0.000 0.000
Dy 0.034 0.296 0.597
Dy 0.154 0.589 0.196
Dy 0.296 0.034 0.597
Dy 0.448 0.711 0.794
Dy 0.589 0.154 0.196
Dy 0.711 0.448 0.794
Dy 0.740 0.740 0.394
Tc 0.063 0.683 0.697
Tc 0.683 0.063 0.697
Pd 0.369 0.369 0.312
```



Entry 7:
DFT (PBE-GGA) results for crystalline DyTmTcPd at its relaxed geometry. Values from VASP.

## Properties
**E_form**: -0.41 eV per atom
**Symmetry**: F-43m

```
&SYSTEM
  ibrav = 0, nat = 4, ntyp = 4
/
ATOMIC_SPECIES
Dy 162.50 Dy.upf
Tm 168.93 Tm.upf
Tc 98.00 Tc.upf
Pd 106.42 Pd.upf
CELL_PARAMETERS angstrom
0.000 3.430 3.430
3.430 0.000 3.430
3.430 3.430 0.000
ATOMIC_POSITIONS crystal
Dy 0.000 0.000 0.000
Tm 0.500 0.500 0.500
Tc 0.250 0.250 0.250
Pd 0.750 0.750 0.750
```



Entry 8:
DFT (PBE-GGA) results for crystalline Dy4TePd2 at its relaxed geometry. Values from VASP.

## Properties
**Symmetry**: C2/c
**E_form (uncorrected)**: -703.8 meV per atom

```
&SYSTEM
  ibrav = 0, nat = 14, ntyp = 3
/
ATOMIC_SPECIES
Dy 162.50 Dy.upf
Te 127.60 Te.upf
Pd 106.42 Pd.upf
CELL_PARAMETERS angstrom
6.064 -6.131 0.000
6.064 6.131 0.000
-6.047 0.000 6.094
ATOMIC_POSITIONS crystal
Dy 0.195 0.233 0.463
Dy 0.231 0.769 0.536
Dy 0.231 0.769 0.964
Dy 0.233 0.195 0.963
Dy 0.767 0.805 0.037
Dy 0.769 0.231 0.036
Dy 0.769 0.231 0.464
Dy 0.805 0.767 0.537
Te 0.376 0.624 0.250
Te 0.624 0.376 0.750
Pd 0.000 0.000 0.000
Pd 0.000 0.000 0.500
Pd 0.000 0.500 0.500
Pd 0.500 0.000 0.000
```



Entry 9:
DFT (PBE-GGA) results for crystalline Dy5Te2Pd2 at its relaxed geometry. Values from VASP.

## Properties
**Symmetry**: Cmce
**E_form (uncorrected)**: -989.6 meV per atom

```
&SYSTEM
  ibrav = 0, nat = 18, ntyp = 3
/
ATOMIC_SPECIES
Dy 162.50 Dy.upf
Te 127.60 Te.upf
Pd 106.42 Pd.upf
CELL_PARAMETERS angstrom
7.824 -3.908 0.000
7.824 3.908 0.000
0.000 0.000 7.792
ATOMIC_POSITIONS crystal
Dy 0.000 0.000 0.000
Dy 0.037 0.717 0.659
Dy 0.217 0.537 0.159
Dy 0.283 0.963 0.659
Dy 0.463 0.783 0.159
Dy 0.500 0.500 0.500
Dy 0.537 0.217 0.841
Dy 0.717 0.037 0.341
Dy 0.783 0.463 0.841
Dy 0.963 0.283 0.341
Te 0.207 0.207 0.000
Te 0.293 0.293 0.500
Te 0.707 0.707 0.500
Te 0.793 0.793 0.000
Pd 0.137 0.863 0.367
Pd 0.363 0.637 0.867
Pd 0.637 0.363 0.133
Pd 0.863 0.137 0.633
```



Entry 10:
DFT (PBE-GGA) results for crystalline Dy3TePd at its relaxed geometry. Values from VASP.

## Properties
**Symmetry**: C2/m
**E_form (uncorrected)**: -829.5 meV per atom
**ΔE to the lowest computed polymorph**: 0.0 meV per atom

```
&SYSTEM
  ibrav = 0, nat = 10, ntyp = 3
/
ATOMIC_SPECIES
Dy 162.50 Dy.upf
Te 127.60 Te.upf
Pd 106.42 Pd.upf
CELL_PARAMETERS angstrom
10.889 -2.041 0.000
10.889 2.041 0.000
-0.974 0.000 6.117
ATOMIC_POSITIONS crystal
Dy 0.001 0.001 0.255
Dy 0.199 0.199 0.128
Dy 0.364 0.364 0.422
Dy 0.636 0.636 0.578
Dy 0.801 0.801 0.872
Dy 0.999 0.999 0.745
Te 0.413 0.413 0.953
Te 0.587 0.587 0.047
Pd 0.228 0.228 0.647
Pd 0.772 0.772 0.353
```



Entry 11:
DFT (PBE-GGA) results for crystalline Dy7Te2Pd2 at its relaxed geometry. Values from VASP.

## Properties
**Symmetry**: Imm2
**E_form (uncorrected)**: -843.2 meV per atom

```
&SYSTEM
  ibrav = 0, nat = 11, ntyp = 3
/
ATOMIC_SPECIES
Dy 162.50 Dy.upf
Te 127.60 Te.upf
Pd 106.42 Pd.upf
CELL_PARAMETERS angstrom
-1.978 7.890 4.836
1.978 -7.890 4.836
1.978 7.890 -4.836
ATOMIC_POSITIONS crystal
Dy 0.000 0.000 0.000
Dy 0.288 0.417 0.871
Dy 0.307 0.624 0.683
Dy 0.546 0.417 0.129
Dy 0.622 0.265 0.357
Dy 0.908 0.265 0.643
Dy 0.942 0.624 0.317
Te 0.264 0.764 0.500
Te 0.663 0.663 0.000
Pd 0.166 0.930 0.237
Pd 0.693 0.930 0.763
```



Entry 12:
DFT (PBE-GGA) results for crystalline Dy2TePd8 at its relaxed geometry. Values from VASP.

## Properties
**Symmetry**: Immm
**E_form (uncorrected)**: -631.0 meV per atom

```
&SYSTEM
  ibrav = 0, nat = 11, ntyp = 3
/
ATOMIC_SPECIES
Dy 162.50 Dy.upf
Te 127.60 Te.upf
Pd 106.42 Pd.upf
CELL_PARAMETERS angstrom
-2.393 2.964 7.193
2.393 -2.964 7.193
2.393 2.964 -7.193
ATOMIC_POSITIONS crystal
Dy 0.186 0.186 0.000
Dy 0.814 0.814 0.000
Te 0.500 0.500 0.000
Pd 0.099 0.359 0.740
Pd 0.255 0.000 0.255
Pd 0.314 0.814 0.500
Pd 0.381 0.641 0.740
Pd 0.619 0.359 0.260
Pd 0.686 0.186 0.500
Pd 0.745 0.000 0.745
Pd 0.901 0.641 0.260
```



Entry 13:
DFT (PBE-GGA) results for crystalline Dy5Te5Pd at its relaxed geometry. Values from VASP.

## Properties
**Symmetry**: C2/m
**E_form (uncorrected)**: -1221.7 meV per atom

```
&SYSTEM
  ibrav = 0, nat = 11, ntyp = 3
/
ATOMIC_SPECIES
Dy 162.50 Dy.upf
Te 127.60 Te.upf
Pd 106.42 Pd.upf
CELL_PARAMETERS angstrom
6.866 -3.075 0.000
6.866 3.075 0.000
-2.781 0.000 8.123
ATOMIC_POSITIONS crystal
Dy 0.000 0.000 0.000
Dy 0.345 0.345 0.682
Dy 0.347 0.347 0.156
Dy 0.653 0.653 0.844
Dy 0.655 0.655 0.318
Te 0.165 0.165 0.826
Te 0.180 0.180 0.334
Te 0.500 0.500 0.500
Te 0.820 0.820 0.666
Te 0.835 0.835 0.174
Pd 0.500 0.500 0.000
```



Entry 14:
DFT (PBE-GGA) results for crystalline DyTePd at its relaxed geometry. Values from VASP.

## Properties
**Symmetry**: P3m1
**E_form (uncorrected)**: -988.4 meV per atom

```
&SYSTEM
  ibrav = 0, nat = 3, ntyp = 3
/
ATOMIC_SPECIES
Dy 162.50 Dy.upf
Te 127.60 Te.upf
Pd 106.42 Pd.upf
CELL_PARAMETERS angstrom
4.526 0.000 0.000
-2.263 3.920 0.000
0.000 0.000 3.919
ATOMIC_POSITIONS crystal
Dy 0.000 0.000 0.000
Te 0.667 0.333 0.487
Pd 0.333 0.667 0.546
```



Entry 15:
DFT (PBE-GGA) results for crystalline DyTePd at its relaxed geometry. Values from VASP.

## Properties
**Symmetry**: I4mm
**E_form (uncorrected)**: -823.6 meV per atom

```
&SYSTEM
  ibrav = 0, nat = 3, ntyp = 3
/
ATOMIC_SPECIES
Dy 162.50 Dy.upf
Te 127.60 Te.upf
Pd 106.42 Pd.upf
CELL_PARAMETERS angstrom
-1.972 1.972 4.549
1.972 -1.972 4.549
1.972 1.972 -4.549
ATOMIC_POSITIONS crystal
Dy 0.000 0.000 0.000
Te 0.656 0.656 0.000
Pd 0.344 0.344 0.000
```



Entry 16:
DFT (PBE-GGA) results for crystalline Dy3TePd at its relaxed geometry. Values from VASP.

## Properties
**Symmetry**: C2/m
**E_form (uncorrected)**: -736.7 meV per atom
**ΔE to the lowest computed polymorph**: 92.8 meV per atom

```
&SYSTEM
  ibrav = 0, nat = 10, ntyp = 3
/
ATOMIC_SPECIES
Dy 162.50 Dy.upf
Te 127.60 Te.upf
Pd 106.42 Pd.upf
CELL_PARAMETERS angstrom
8.364 -2.107 0.000
8.364 2.107 0.000
-5.165 0.000 8.148
ATOMIC_POSITIONS crystal
Dy 0.056 0.056 0.390
Dy 0.248 0.248 0.334
Dy 0.400 0.400 0.038
Dy 0.600 0.600 0.962
Dy 0.752 0.752 0.666
Dy 0.944 0.944 0.610
Te 0.163 0.163 0.790
Te 0.837 0.837 0.210
Pd 0.386 0.386 0.723
Pd 0.614 0.614 0.277
```



Entry 17:
DFT (PBE-GGA) results for crystalline DyTePd4 at its relaxed geometry. Values from VASP.

## Properties
**Symmetry**: F-43m
**E_form (uncorrected)**: -528.2 meV per atom

```
&SYSTEM
  ibrav = 0, nat = 6, ntyp = 3
/
ATOMIC_SPECIES
Dy 162.50 Dy.upf
Te 127.60 Te.upf
Pd 106.42 Pd.upf
CELL_PARAMETERS angstrom
0.000 3.837 3.837
3.837 0.000 3.837
3.837 3.837 0.000
ATOMIC_POSITIONS crystal
Dy 0.000 0.000 0.000
Te 0.250 0.250 0.250
Pd 0.123 0.626 0.626
Pd 0.626 0.123 0.626
Pd 0.626 0.626 0.123
Pd 0.626 0.626 0.626
```



Entry 18:
DFT (PBE-GGA) results for crystalline Dy4Te3Pd at its relaxed geometry. Values from VASP.

## Properties
**Symmetry**: Cmmm
**E_form (uncorrected)**: -1173.2 meV per atom

```
&SYSTEM
  ibrav = 0, nat = 8, ntyp = 3
/
ATOMIC_SPECIES
Dy 162.50 Dy.upf
Te 127.60 Te.upf
Pd 106.42 Pd.upf
CELL_PARAMETERS angstrom
4.421 -6.135 0.000
4.421 6.135 0.000
0.000 0.000 4.201
ATOMIC_POSITIONS crystal
Dy 0.217 0.217 0.500
Dy 0.239 0.761 0.000
Dy 0.761 0.239 0.000
Dy 0.783 0.783 0.500
Te 0.000 0.500 0.500
Te 0.500 0.000 0.500
Te 0.500 0.500 0.000
Pd 0.000 0.000 0.000
```



Entry 19:
DFT (PBE-GGA) results for crystalline DyTePd6 at its relaxed geometry. Values from VASP.

## Properties
**Symmetry**: P4/mmm
**E_form (uncorrected)**: -529.0 meV per atom

```
&SYSTEM
  ibrav = 0, nat = 8, ntyp = 3
/
ATOMIC_SPECIES
Dy 162.50 Dy.upf
Te 127.60 Te.upf
Pd 106.42 Pd.upf
CELL_PARAMETERS angstrom
4.102 0.000 0.000
0.000 4.102 0.000
0.000 0.000 8.212
ATOMIC_POSITIONS crystal
Dy 0.000 0.000 0.000
Te 0.000 0.000 0.500
Pd 0.000 0.500 0.253
Pd 0.000 0.500 0.747
Pd 0.500 0.000 0.253
Pd 0.500 0.000 0.747
Pd 0.500 0.500 0.000
Pd 0.500 0.500 0.500
```



Entry 20:
DFT (PBE-GGA) results for crystalline Dy2TePd9 at its relaxed geometry. Values from VASP.

## Properties
**Symmetry**: P4/mmm
**E_form (uncorrected)**: -648.0 meV per atom

```
&SYSTEM
  ibrav = 0, nat = 12, ntyp = 3
/
ATOMIC_SPECIES
Dy 162.50 Dy.upf
Te 127.60 Te.upf
Pd 106.42 Pd.upf
CELL_PARAMETERS angstrom
4.109 0.000 0.000
0.000 4.109 0.000
0.000 0.000 12.332
ATOMIC_POSITIONS crystal
Dy 0.000 0.000 0.165
Dy 0.000 0.000 0.835
Te 0.000 0.000 0.500
Pd 0.000 0.500 0.000
Pd 0.000 0.500 0.337
Pd 0.000 0.500 0.663
Pd 0.500 0.000 0.000
Pd 0.500 0.000 0.337
Pd 0.500 0.000 0.663
Pd 0.500 0.500 0.171
Pd 0.500 0.500 0.500
Pd 0.500 0.500 0.829
```



no.,total energy (eV/cell)
1,-18.10
2,-18.19
3,-26.48
4,-61.29
5,-60.44
6,-64.45
7,-26.26
8,-73.73
9,-97.17
10,-52.58
11,-58.16
12,-60.83
13,-57.35
14,-15.90
15,-15.41
16,-51.65
17,-31.68
18,-42.41
19,-43.13
20,-66.86